Entry 1:
First-principles (meta-GGA SCAN) data for SmAu6 at its PBEsol-relaxed geometry, as listed in Alexandria via LeMat-Bulk.

## Properties
As for the total energy: -66.1401 eV per atom. The density of states at the Fermi level is 0.310 states/eV/atom.

Unit cell a=10.364 b=10.364 c=9.708 alpha=90.00 beta=90.00 gamma=90.00
Space group P4_2/ncm (No. 138, origin choice 2)
Asymmetric unit:
Sm: 0.075 0.075 0.212 [8 per cell]
Au: 0.000 0.000 0.500 [4 per cell]
Au: 0.013 0.681 0.579 [16 per cell]
Au: 0.124 0.699 0.856 [16 per cell]
Au: 0.146 0.146 0.680 [8 per cell]
Au: 0.250 0.250 0.435 [4 per cell]

---

Entry 2:
First-principles (meta-GGA SCAN) data for Sm2Au at its PBEsol-relaxed geometry, as listed in Alexandria via LeMat-Bulk.

## Properties
As for the total energy: -53.5008 eV per atom. The density of states at the Fermi level is 0.900 states/eV/atom.

Unit cell a=7.074 b=4.967 c=9.050 alpha=90.00 beta=90.00 gamma=90.00
Space group Pnma (No. 62)
Asymmetric unit:
Sm: 0.007 0.250 0.178 [4 per cell]
Sm: 0.155 0.250 0.584 [4 per cell]
Au: 0.241 0.250 0.904 [4 per cell]

---

Entry 3:
First-principles (meta-GGA SCAN) data for SmAu3 at its PBEsol-relaxed geometry, as listed in Alexandria via LeMat-Bulk.

## Properties
As for the total energy: -63.8168 eV per atom. The density of states at the Fermi level is 0.305 states/eV/atom.

Unit cell a=5.016 b=6.181 c=5.108 alpha=90.00 beta=90.00 gamma=90.00
Space group Pmmn (No. 59, origin choice 2)
Asymmetric unit:
Sm: 0.250 0.250 0.156 [2 per cell]
Au: 0.250 0.509 0.661 [4 per cell]
Au: 0.250 0.750 0.175 [2 per cell]

---

Entry 4:
First-principles (meta-GGA SCAN) data for SnAu at its PBEsol-relaxed geometry, as listed in Alexandria via LeMat-Bulk.

## Properties
As for the total energy: -52.7252 eV per atom. The density of states at the Fermi level is 0.345 states/eV/atom.

Unit cell a=4.3258 b=4.3258 c=5.5215 alpha=90.00 beta=90.00 gamma=120.00
Space group P6_3/mmc (No. 194)
Asymmetric unit:
Sn: 0.3333 0.6667 0.2500 [2 per cell]
Au: 0.0000 0.0000 0.0000 [2 per cell]

---

Entry 5:
First-principles (meta-GGA SCAN) data for Sn2Au at its PBEsol-relaxed geometry, as listed in Alexandria via LeMat-Bulk.

## Properties
As for the total energy: -47.1613 eV per atom. The density of states at the Fermi level is 0.286 states/eV/atom.

Unit cell a=6.918 b=7.010 c=11.779 alpha=90.00 beta=90.00 gamma=90.00
Space group Pbca (No. 61)
Asymmetric unit:
Sn: 0.130 0.028 0.173 [8 per cell]
Sn: 0.148 0.248 0.911 [8 per cell]
Au: 0.012 0.108 0.616 [8 per cell]

---

Entry 6:
First-principles (meta-GGA SCAN) data for SnAu5 at its PBEsol-relaxed geometry, as listed in Alexandria via LeMat-Bulk.

## Properties
As for the total energy: -63.6216 eV per atom. The density of states at the Fermi level is 0.297 states/eV/atom.

Unit cell a=5.0857 b=5.0857 c=14.2904 alpha=90.00 beta=90.00 gamma=120.00
Space group R32 (No. 155, hexagonal axes)
Asymmetric unit:
Sn: 0.0000 0.0000 0.0000 [3 per cell]
Au: 0.0000 0.0000 0.3295 [6 per cell]
Au: 0.0000 0.3268 0.5000 [9 per cell]

---

Entry 7:
First-principles (meta-GGA SCAN) data for Sr2Sn2Au at its PBEsol-relaxed geometry, as listed in Alexandria via LeMat-Bulk.

## Properties
As for the total energy: -37.6081 eV per atom. The density of states at the Fermi level is 0.630 states/eV/atom.

Unit cell a=4.115 b=4.115 c=18.423 alpha=90.00 beta=90.00 gamma=90.00
Space group I4/mmm (No. 139)
Asymmetric unit:
Sr: 0.000 0.000 0.097 [4 per cell]
Sn: 0.000 0.500 0.250 [4 per cell]
Au: 0.000 0.000 0.500 [2 per cell]

---

Entry 8:
First-principles (meta-GGA SCAN) data for Ta3SnAu at its PBEsol-relaxed geometry, as listed in Alexandria via LeMat-Bulk.

## Properties
As for the total energy: -59.5173 eV per atom. The density of states at the Fermi level is 0.988 states/eV/atom.

Unit cell a=4.888 b=4.888 c=4.888 alpha=90.00 beta=90.00 gamma=90.00
Space group Pm-3m (No. 221)
Asymmetric unit:
Ta: 0.000 0.000 0.500 [3 per cell]
Sn: 0.500 0.500 0.500 [1 per cell]
Au: 0.000 0.000 0.000 [1 per cell]

---

Entry 9:
First-principles (meta-GGA SCAN) data for Tb2SnAu2 at its PBEsol-relaxed geometry, as listed in Alexandria via LeMat-Bulk.

## Properties
As for the total energy: -54.6177 eV per atom. The density of states at the Fermi level is 0.375 states/eV/atom.

Unit cell a=7.785 b=7.785 c=3.748 alpha=90.00 beta=90.00 gamma=90.00
Space group P4/mbm (No. 127)
Asymmetric unit:
Tb: 0.171 0.329 0.000 [4 per cell]
Sn: 0.000 0.000 0.500 [2 per cell]
Au: 0.127 0.627 0.500 [4 per cell]

---

Entry 10:
First-principles (meta-GGA SCAN) data for TbSnAu2 at its PBEsol-relaxed geometry, as listed in Alexandria via LeMat-Bulk.

## Properties
As for the total energy: -56.0514 eV per atom. The density of states at the Fermi level is 0.324 states/eV/atom.

Unit cell a=6.920 b=6.920 c=6.920 alpha=90.00 beta=90.00 gamma=90.00
Space group Fm-3m (No. 225)
Asymmetric unit:
Tb: 0.000 0.000 0.000 [4 per cell]
Sn: 0.000 0.000 0.500 [4 per cell]
Au: 0.250 0.250 0.250 [8 per cell]

---

Entry 11:
First-principles (meta-GGA SCAN) data for TcSn3Au at its PBEsol-relaxed geometry, as listed in Alexandria via LeMat-Bulk.

## Properties
As for the total energy: -41.2743 eV per atom. The density of states at the Fermi level is 0.690 states/eV/atom.

Unit cell a=5.201 b=5.201 c=5.201 alpha=90.00 beta=90.00 gamma=90.00
Space group Pm-3m (No. 221)
Asymmetric unit:
Tc: 0.000 0.000 0.000 [1 per cell]
Sn: 0.000 0.500 0.500 [3 per cell]
Au: 0.500 0.500 0.500 [1 per cell]

---

Entry 12:
First-principles (meta-GGA SCAN) data for TlSn2Au at its PBEsol-relaxed geometry, as listed in Alexandria via LeMat-Bulk.

## Properties
As for the total energy: -53.1408 eV per atom. The density of states at the Fermi level is 0.392 states/eV/atom.

Unit cell a=7.245 b=7.245 c=7.245 alpha=90.00 beta=90.00 gamma=90.00
Space group Fm-3m (No. 225)
Asymmetric unit:
Tl: 0.000 0.000 0.000 [4 per cell]
Sn: 0.250 0.250 0.250 [8 per cell]
Au: 0.000 0.000 0.500 [4 per cell]

---

Entry 13:
First-principles (meta-GGA SCAN) data for TlSn2Au2 at its PBEsol-relaxed geometry, as listed in Alexandria via LeMat-Bulk.

## Properties
Its excess energy over the best structure of this formula in the dataset is 0.079 eV/atom. The density of states at the Fermi level is 0.394 states/eV/atom.

Unit cell a=8.369 b=8.369 c=3.245 alpha=90.00 beta=90.00 gamma=90.00
Space group P4/mbm (No. 127)
Asymmetric unit:
Tl: 0.000 0.000 0.000 [2 per cell]
Sn: 0.143 0.357 0.500 [4 per cell]
Au: 0.153 0.653 0.000 [4 per cell]

---

Entry 14:
First-principles (meta-GGA SCAN) data for TlSn2Au2 at its PBEsol-relaxed geometry, as listed in Alexandria via LeMat-Bulk.

## Properties
Its excess energy over the best structure of this formula in the dataset is 0.000 eV/atom. The density of states at the Fermi level is 0.405 states/eV/atom.

Unit cell a=4.745 b=4.745 c=11.083 alpha=90.00 beta=90.00 gamma=90.00
Space group I4/mmm (No. 139)
Asymmetric unit:
Tl: 0.000 0.000 0.000 [2 per cell]
Sn: 0.000 0.500 0.250 [4 per cell]
Au: 0.000 0.000 0.379 [4 per cell]

---

Entry 15:
First-principles (meta-GGA SCAN) data for Tl2SnAu2 at its PBEsol-relaxed geometry, as listed in Alexandria via LeMat-Bulk.

## Properties
As for the total energy: -63.7736 eV per atom. The density of states at the Fermi level is 0.416 states/eV/atom.

Unit cell a=7.428 b=7.428 c=4.241 alpha=90.00 beta=90.00 gamma=90.00
Space group P4/mbm (No. 127)
Asymmetric unit:
Tl: 0.166 0.334 0.000 [4 per cell]
Sn: 0.000 0.000 0.500 [2 per cell]
Au: 0.135 0.635 0.500 [4 per cell]

---

Entry 16:
First-principles (meta-GGA SCAN) data for Tm2SnAu2 at its PBEsol-relaxed geometry, as listed in Alexandria via LeMat-Bulk.

## Properties
As for the total energy: -56.6515 eV per atom. The density of states at the Fermi level is 0.262 states/eV/atom.

Unit cell a=7.695 b=7.695 c=3.688 alpha=90.00 beta=90.00 gamma=90.00
Space group P4/mbm (No. 127)
Asymmetric unit:
Tm: 0.169 0.331 0.000 [4 per cell]
Sn: 0.000 0.000 0.500 [2 per cell]
Au: 0.129 0.629 0.500 [4 per cell]

---

Entry 17:
First-principles (meta-GGA SCAN) data for Tm2SnAu2 at its PBEsol-relaxed geometry, as listed in Alexandria via LeMat-Bulk.

## Properties
As for the total energy: -56.6540 eV per atom. The density of states at the Fermi level is 0.289 states/eV/atom.

Unit cell a=7.716 b=7.716 c=7.279 alpha=90.00 beta=90.00 gamma=90.00
Space group P4_2/mnm (No. 136)
Asymmetric unit:
Tm: 0.154 0.154 0.000 [4 per cell]
Tm: 0.186 0.186 0.500 [4 per cell]
Sn: 0.000 0.500 0.250 [4 per cell]
Au: 0.128 0.872 0.283 [8 per cell]

---

Entry 18:
First-principles (meta-GGA SCAN) data for Y2SnAu2 at its PBEsol-relaxed geometry, as listed in Alexandria via LeMat-Bulk.

## Properties
As for the total energy: -47.0853 eV per atom. The density of states at the Fermi level is 0.320 states/eV/atom.

Unit cell a=7.767 b=7.767 c=3.750 alpha=90.00 beta=90.00 gamma=90.00
Space group P4/mbm (No. 127)
Asymmetric unit:
Y: 0.170 0.330 0.000 [4 per cell]
Sn: 0.000 0.000 0.500 [2 per cell]
Au: 0.127 0.627 0.500 [4 per cell]

---

Entry 19:
First-principles (meta-GGA SCAN) data for YSn2Au at its PBEsol-relaxed geometry, as listed in Alexandria via LeMat-Bulk.

## Properties
As for the total energy: -42.4594 eV per atom. The density of states at the Fermi level is 0.536 states/eV/atom.

Unit cell a=7.169 b=7.169 c=7.169 alpha=90.00 beta=90.00 gamma=90.00
Space group Fm-3m (No. 225)
Asymmetric unit:
Y: 0.000 0.000 0.000 [4 per cell]
Sn: 0.250 0.250 0.250 [8 per cell]
Au: 0.000 0.000 0.500 [4 per cell]

---

Entry 20:
First-principles (meta-GGA SCAN) data for Y2SnAu2 at its PBEsol-relaxed geometry, as listed in Alexandria via LeMat-Bulk.

## Properties
As for the total energy: -47.0832 eV per atom. The density of states at the Fermi level is 0.353 states/eV/atom.

Unit cell a=7.788 b=7.788 c=7.410 alpha=90.00 beta=90.00 gamma=90.00
Space group P4_2/mnm (No. 136)
Asymmetric unit:
Y: 0.157 0.157 0.000 [4 per cell]
Y: 0.186 0.186 0.500 [4 per cell]
Sn: 0.000 0.500 0.250 [4 per cell]
Au: 0.127 0.873 0.282 [8 per cell]